Entry 1:
Material: CaAlCo2
Method: DFT, PBE-GGA
State: optimized geometry

* crystal system: tetragonal
* calculated density: 3.67 g/cm3
* magnetization: 4.2 μB/cell
* space group: I4_1/amd, No. 141
* V: 167.3 Å³/cell
* formation energy from the elements: 0.272 eV per atom

Unit cell a=4.489 b=4.489 c=8.887 alpha=75.37 beta=75.37 gamma=90.00
Atoms (fractional coordinates):
Ca: 0.000 0.000 0.000
Ca: 0.750 0.250 0.500
Co: 0.375 0.125 0.250
Co: 0.375 0.625 0.250
Co: 0.375 0.625 0.750
Co: 0.875 0.625 0.750
Al: 0.500 0.500 0.000
Al: 0.250 0.750 0.500

***

Entry 2:
Material: CaAl12Co4
Method: DFT, PBE-GGA
State: optimized geometry

* crystal system: cubic
* calculated density: 2.76 g/cm3
* magnetization: 0.0 μB/cell
* space group: Im-3m, No. 229
* V: 361.1 Å³/cell
* formation energy from the elements: -0.143 eV per atom

Unit cell a=7.770 b=7.770 c=7.770 alpha=109.47 beta=109.47 gamma=109.47
Atoms (fractional coordinates):
Ca: 0.000 0.000 0.000
Al: 0.738 0.262 0.000
Al: 0.262 0.524 0.262
Al: 0.000 0.262 0.738
Al: 0.262 0.000 0.738
Al: 0.000 0.738 0.262
Al: 0.738 0.476 0.738
Al: 0.524 0.262 0.262
Al: 0.476 0.738 0.738
Al: 0.738 0.000 0.262
Al: 0.738 0.738 0.476
Al: 0.262 0.262 0.524
Al: 0.262 0.738 0.000
Co: 0.000 0.500 0.000
Co: 0.500 0.000 0.000
Co: 0.500 0.500 0.500
Co: 0.000 0.000 0.500

***

Entry 3:
Material: CaAlCo2
Method: DFT, PBE-GGA
State: optimized geometry

* crystal system: tetragonal
* calculated density: 5.23 g/cm3
* magnetization: 0.0 μB/cell
* space group: P4/mmm, No. 123
* V: 58.7 Å³/cell
* formation energy from the elements: 0.164 eV per atom

Unit cell a=4.371 b=4.371 c=3.074 alpha=90.00 beta=90.00 gamma=89.98
Atoms (fractional coordinates):
Ca: 0.000 0.500 0.500
Co: 0.000 0.000 0.000
Co: 0.500 0.500 0.000
Al: 0.500 0.000 0.500